Th6TeRu2Se3: optimized geometry, PBE.

extended XYZ file:
```
12
Lattice="-1.523 -1.958 -3.335 7.648 -4.337 -0.947 -4.275 -4.557 7.217" Properties=species:S:1:pos:R:3 pbc="T T T"
Th 3.496 -7.415 2.755
Th 1.773 -5.355 -0.256
Th -1.647 -3.437 0.179
Th 1.946 -1.332 -0.107
Th -0.097 -9.520 3.042
Th 0.077 -5.497 3.191
Te -0.762 -0.979 -1.668
Ru 1.014 -7.530 1.367
Ru 0.835 -3.322 1.568
Se 3.063 -3.147 -2.141
Se -2.950 -5.516 1.995
Se 4.799 -5.336 0.940
```

Output
Symmetry: C2/m, No. 12
Total energy in eV/atom: -7.515
DOS(E_F) in states/eV/cell: 9.68
Calculated density in g/cm3: 9.78
M_tot in μB per cell: 0.00

***

AcErIn: optimized geometry, PBE.

extended XYZ file:
```
6
Lattice="-1.868 2.274 -2.372 -4.058 0.436 3.614 4.397 7.786 4.000" Properties=species:S:1:pos:R:3 pbc="T T T"
In 1.892 6.140 1.384
In -0.458 3.000 3.236
Er 0.493 3.663 0.112
Er 0.941 5.477 4.508
Ac 4.133 7.317 3.759
Ac -2.698 1.824 0.861
```

Output
Energy relative to the lowest polymorph listed for this composition in meV/atom: 278
Symmetry: Pmmn, No. 59
Total energy in eV/atom: -3.836
DOS(E_F) in states/eV/cell: 6.67
Formation energy in eV per atom: -0.0324
Calculated density in g/cm3: 8.38
M_tot in μB per cell: 0.00

***

Li5Ag6Hg: optimized geometry, PBE.

extended XYZ file:
```
12
Lattice="4.667 0.002 -0.579 -0.003 6.154 -0.001 -0.325 0.001 7.076" Properties=species:S:1:pos:R:3 pbc="T T T"
Hg 0.000 0.000 0.000
Ag 3.502 4.602 4.128
Ag 3.503 1.557 4.128
Ag 2.007 1.644 6.786
Ag 2.331 4.513 -0.290
Ag 0.835 4.600 2.367
Ag 0.836 1.555 2.368
Li 3.125 3.079 1.936
Li 1.213 0.001 4.613
Li -0.001 3.077 0.000
Li 3.125 6.156 1.883
Li 1.213 3.078 4.560
```

Output
Energy relative to the lowest polymorph listed for this composition in meV/atom: 3
Symmetry: P2/m, No. 10
Total energy in eV/atom: -2.436
DOS(E_F) in states/eV/cell: 3.57
Formation energy in eV per atom: -0.1877
Calculated density in g/cm3: 7.25
M_tot in μB per cell: 0.00

***

Be2AlSiBi: optimized geometry, PBE.

extended XYZ file:
```
5
Lattice="-3.850 2.353 -0.984 -2.817 -4.893 -0.675 -1.125 0.031 4.479" Properties=species:S:1:pos:R:3 pbc="T T T"
Be -0.563 0.015 2.239
Be -1.925 1.176 -0.492
Si -1.409 -2.446 -0.337
Bi 0.000 0.000 0.000
Al -3.897 -1.255 1.410
```

Output
Symmetry: P4/mmm, No. 123
Total energy in eV/atom: -2.635
DOS(E_F) in states/eV/cell: 3.63
Calculated density in g/cm3: 3.86
M_tot in μB per cell: 0.00

***

Ce4SnGe: optimized geometry, PBE.

extended XYZ file:
```
6
Lattice="4.762 0.005 1.755 2.534 5.457 0.462 0.562 -1.445 5.831" Properties=species:S:1:pos:R:3 pbc="T T T"
Ce 5.574 1.831 6.937
Ce 6.242 4.171 5.116
Ce 2.284 2.186 1.112
Ce 1.616 -0.154 2.932
Sn 4.762 0.005 1.755
Ge 3.929 2.009 4.024
```

Output
Energy relative to the lowest polymorph listed for this composition in meV/atom: 0
Symmetry: C2/m, No. 12
Total energy in eV/atom: -5.717
DOS(E_F) in states/eV/cell: 14.71
Formation energy in eV per atom: -0.3241
Calculated density in g/cm3: 8.74
M_tot in μB per cell: 1.77

***

PmThSb2: optimized geometry, PBE.

extended XYZ file:
```
4
Lattice="4.504 0.000 0.000 2.252 3.901 0.000 2.252 1.300 7.331" Properties=species:S:1:pos:R:3 pbc="T T T"
Sb 6.756 3.901 5.492
Sb 2.252 1.300 1.840
Th 0.000 0.000 0.000
Pm 4.504 2.600 3.666
```

Output
Energy relative to the lowest polymorph listed for this composition in meV/atom: 0
Symmetry: R-3m, No. 166
Total energy in eV/atom: -6.164
DOS(E_F) in states/eV/cell: 2.02
Calculated density in g/cm3: 8.00
M_tot in μB per cell: 0.00

***

ZrMo2P: optimized geometry, PBE.

extended XYZ file:
```
4
Lattice="-0.540 4.464 2.599 -4.818 1.428 1.312 2.921 -4.277 0.382" Properties=species:S:1:pos:R:3 pbc="T T T"
Zr -0.149 1.566 2.468
Mo 0.000 0.000 0.000
Mo -2.288 0.048 1.824
P -2.679 2.946 1.955
```

Output
Symmetry: I-4m2, No. 119
Total energy in eV/atom: -8.956
DOS(E_F) in states/eV/cell: 3.28
Formation energy in eV per atom: -0.0510
Calculated density in g/cm3: 8.06
M_tot in μB per cell: 0.00

***

CePrDy2Er: optimized geometry, PBE.

extended XYZ file:
```
10
Lattice="-1.000 5.423 4.707 -7.613 -0.171 -1.420 -0.722 -3.897 4.337" Properties=species:S:1:pos:R:3 pbc="T T T"
Ce 0.000 0.000 0.000
Ce -0.361 -1.948 2.168
Pr -4.512 -2.120 3.314
Pr -4.823 3.475 4.310
Dy -6.632 0.627 5.429
Dy -3.418 0.699 6.029
Dy -5.917 0.656 1.595
Dy -2.703 0.728 2.194
Er -0.795 2.359 3.977
Er -0.926 -0.833 5.066
```

Output
Symmetry: Pmma, No. 51
Total energy in eV/atom: -4.615
DOS(E_F) in states/eV/cell: 19.89
Formation energy in eV per atom: 0.2812
Calculated density in g/cm3: 7.78
M_tot in μB per cell: 3.23

***

Question: Look up the M_tot of the fourth one.
Answer: 0.00 μB per cell

***

Repeat the sixth record exactly.
PmThSb2: optimized geometry, PBE.

extended XYZ file:
```
4
Lattice="4.504 0.000 0.000 2.252 3.901 0.000 2.252 1.300 7.331" Properties=species:S:1:pos:R:3 pbc="T T T"
Sb 6.756 3.901 5.492
Sb 2.252 1.300 1.840
Th 0.000 0.000 0.000
Pm 4.504 2.600 3.666
```

Output
Energy relative to the lowest polymorph listed for this composition in meV/atom: 0
Symmetry: R-3m, No. 166
Total energy in eV/atom: -6.164
DOS(E_F) in states/eV/cell: 2.02
Calculated density in g/cm3: 8.00
M_tot in μB per cell: 0.00

***

Question: The highest calculated density belongs to which entry?
Answer: Th6TeRu2Se3